Compound: Cr2TcRu
Source: the Alexandria database
Functional: meta-GGA SCAN
Structure: PBEsol geometry

a = 2.6424 Å, b = 3.5961 Å, c = 5.2986 Å
α = 90.00°, β = 90.00°, γ = 90.00°
Last column: nearest neighbours and their distance in Å.
Sites, in units of the cell vectors:
Cr1 0.0000 0.0000 0.2472  4 Ru 2.59, 4 Tc 2.60, 4 Cr 2.62-2.68
Cr2 0.0000 0.0000 0.7528  4 Ru 2.59, 4 Tc 2.60, 4 Cr 2.62-2.68
Tc1 0.5000 0.5000 0.5000  8 Cr 2.60, 2 Tc 2.64, 2 Ru 2.65
Ru1 0.5000 0.5000 0.0000  8 Cr 2.59, 2 Ru 2.64, 2 Tc 2.65

Results
E_form: 0.8 eV per formula unit
Density: 10.00 g/cm3